# 1
Computed, not measured: TaOsCl2 after structural relaxation at the PBEsol level of DFT.

Cell and atoms, written as POSCAR:
```
TaOsCl2
1.0
3.963 0.000 0.000
0.000 3.963 0.000
0.000 0.000 8.067
Ta Os Cl
2 2 4
direct
0.000 0.000 0.000
0.500 0.500 0.500
0.000 0.000 0.500
0.500 0.500 0.000
0.000 0.500 0.250
0.000 0.500 0.750
0.500 0.000 0.250
0.500 0.000 0.750
```



# 2
Computed, not measured: TaOsCl2 after structural relaxation at the PBEsol level of DFT.

Cell and atoms, written as POSCAR:
```
TaOsCl2
1.0
6.141 0.000 0.000
0.000 6.150 0.000
0.000 0.000 3.086
Ta Os Cl
2 2 4
direct
0.000 0.000 0.000
0.500 0.500 0.000
0.000 0.500 0.000
0.500 0.000 0.000
0.250 0.250 0.500
0.250 0.750 0.500
0.750 0.250 0.500
0.750 0.750 0.500
```



# 3
Computed, not measured: TaOsCl2 after structural relaxation at the PBEsol level of DFT.

Cell and atoms, written as POSCAR:
```
TaOsCl2
1.0
2.974 0.000 0.000
-1.487 2.576 0.000
0.000 0.000 24.478
Ta Os Cl
3 3 6
direct
0.000 0.000 0.000
0.333 0.667 0.667
0.667 0.333 0.333
0.000 0.000 0.500
0.333 0.667 0.167
0.667 0.333 0.833
0.000 0.000 0.408
0.000 0.000 0.592
0.333 0.667 0.074
0.333 0.667 0.259
0.667 0.333 0.741
0.667 0.333 0.926
```



# 4
Computed, not measured: TaOs2Cl after structural relaxation at the PBEsol level of DFT.

Cell and atoms, written as POSCAR:
```
TaOs2Cl
1.0
2.871 0.000 0.000
0.000 4.126 0.000
-1.296 0.000 5.007
Ta Os Cl
1 2 1
direct
0.000 0.000 0.000
0.357 0.500 0.735
0.643 0.500 0.265
0.000 0.000 0.500
```



# 5
Computed, not measured: TaOs2Cl after structural relaxation at the PBEsol level of DFT.

Cell and atoms, written as POSCAR:
```
TaOs2Cl
1.0
5.867 0.000 0.000
0.000 7.063 0.000
0.000 0.000 2.948
Ta Os Cl
2 4 2
direct
0.000 0.000 0.000
0.500 0.500 0.000
0.250 0.250 0.500
0.250 0.750 0.500
0.750 0.250 0.500
0.750 0.750 0.500
0.000 0.500 0.000
0.500 0.000 0.000
```



# 6
Computed, not measured: TcOsCl2 after structural relaxation at the PBEsol level of DFT.

Cell and atoms, written as POSCAR:
```
TcOsCl2
1.0
2.883 0.000 0.000
-1.441 2.496 0.000
0.000 0.000 25.197
Tc Os Cl
3 3 6
direct
0.000 0.000 0.000
0.333 0.667 0.667
0.667 0.333 0.333
0.000 0.000 0.500
0.333 0.667 0.167
0.667 0.333 0.833
0.000 0.000 0.088
0.000 0.000 0.912
0.333 0.667 0.578
0.333 0.667 0.755
0.667 0.333 0.245
0.667 0.333 0.422
```



# 7
Computed, not measured: TcOsCl2 after structural relaxation at the PBEsol level of DFT.

Cell and atoms, written as POSCAR:
```
TcOsCl2
1.0
2.777 0.000 0.000
0.000 4.163 0.000
0.000 0.000 5.164
Tc Os Cl
1 1 2
direct
0.000 0.000 0.000
0.500 0.000 0.500
0.000 0.500 0.500
0.500 0.500 0.000
```



# 8
Computed, not measured: TcOsCl2 after structural relaxation at the PBEsol level of DFT.

Cell and atoms, written as POSCAR:
```
TcOsCl2
1.0
4.882 0.000 0.000
0.000 4.882 0.000
0.000 0.000 4.949
Tc Os Cl
2 2 4
direct
0.000 0.000 0.000
0.500 0.500 0.500
0.000 0.500 0.250
0.500 0.000 0.750
0.000 0.000 0.500
0.000 0.500 0.750
0.500 0.000 0.250
0.500 0.500 0.000
```



Number 1: formation energy from raw total energies 1.02 eV per atom, excess energy over the best structure of this formula in the dataset 792 meV per atom. Number 2: formation energy from raw total energies 1.08 eV per atom, excess energy over the best structure of this formula in the dataset 855 meV per atom. Number 3: formation energy from raw total energies 0.22 eV per atom, excess energy over the best structure of this formula in the dataset 0 meV per atom. Number 4: formation energy from raw total energies 0.44 eV per atom, excess energy over the best structure of this formula in the dataset 186 meV per atom. Number 5: formation energy from raw total energies 0.94 eV per atom, excess energy over the best structure of this formula in the dataset 685 meV per atom. Number 6: formation energy from raw total energies 0.87 eV per atom, excess energy over the best structure of this formula in the dataset 848 meV per atom. Number 7: formation energy from raw total energies 0.92 eV per atom, excess energy over the best structure of this formula in the dataset 896 meV per atom. Number 8: formation energy from raw total energies 0.95 eV per atom, excess energy over the best structure of this formula in the dataset 926 meV per atom.